12
Lattice="3.7929 -6.5624 0.0000 3.7929 6.5624 0.0000 -2.5301 0.0000 7.4269" Properties=species:S:1:pos:R:3 comment="Ba3PrSm2Se6, relaxed, DFT PBE" space_group=C2/m crystal_system=monoclinic e_form_raw_ev_per_atom=-1.91 m_tot_mub_per_fu=0.00 dos_ef_per_ev_fu=4.8 pbc="T T T"
Ba 0.0000 0.0000 0.0000
Ba 3.7929 2.1674 0.0000
Ba 3.7929 -2.1674 0.0000
Pr 2.5278 0.0000 3.7134
Sm 2.5278 4.3688 3.7134
Sm 2.5278 -4.3688 3.7134
Se 1.2452 2.2191 2.0708
Se -0.0388 0.0000 5.3448
Se 1.2452 -2.2191 2.0708
Se 3.8105 2.2191 5.3561
Se 5.0944 0.0000 2.0821
Se 3.8105 -2.2191 5.3561

---

14
Lattice="4.4520 2.5703 7.2124 -4.4520 2.5703 7.2124 0.0000 -5.1407 7.2124" Properties=species:S:1:pos:R:3 comment="BaPr4SmSe8, relaxed, DFT PBE" space_group=R3m crystal_system=trigonal e_form_raw_ev_per_atom=-1.79 m_tot_mub_per_fu=0.00 dos_ef_per_ev_fu=4.2 pbc="T T T"
Ba 0.0000 0.0000 0.0000
Pr -2.2544 -1.3016 9.8820
Pr 0.0000 0.0000 5.3745
Pr 2.2544 -1.3016 9.8820
Pr 0.0000 2.6032 9.8820
Sm 0.0000 0.0000 13.5334
Se 0.0000 0.0000 8.2485
Se 0.0000 -2.3921 11.6713
Se -2.0716 1.1961 11.6713
Se -1.9353 -1.1174 15.3748
Se 2.0717 1.1961 11.6713
Se 1.9353 -1.1174 15.3748
Se 0.0000 2.2347 15.3748
Se 0.0000 0.0000 18.5886

---

15
Lattice="4.3518 2.5125 7.5748 -4.3518 2.5125 7.5748 0.0000 -5.0251 7.5748" Properties=species:S:1:pos:R:3 comment="Ba3Pr3SmSe8, relaxed, DFT PBE" space_group=R-3m crystal_system=trigonal e_form_raw_ev_per_atom=-1.94 m_tot_mub_per_fu=0.00 dos_ef_per_ev_fu=3.9 pbc="T T T"
Ba -2.1759 -1.2563 7.5748
Ba -2.1759 1.2563 15.1496
Ba 0.0000 2.5125 7.5748
Pr -4.3518 0.0000 11.3622
Pr -2.1759 1.2563 3.7874
Pr 2.1759 1.2563 3.7874
Sm 0.0000 0.0000 11.3622
Se 0.0000 0.0000 5.4946
Se -2.1425 -1.2370 13.0184
Se 0.0000 -2.4739 9.7060
Se -2.1425 1.2370 9.7060
Se 2.1425 -1.2370 13.0184
Se 0.0000 2.4739 13.0184
Se 2.1425 1.2370 9.7060
Se 0.0000 0.0000 17.2298

---

12
Lattice="3.8754 -6.7073 0.0000 3.8754 6.7073 0.0000 -2.5818 0.0000 7.4427" Properties=species:S:1:pos:R:3 comment="Ba3SrPr2Se6, relaxed, DFT PBE" space_group=C2/m crystal_system=monoclinic e_form_raw_ev_per_atom=-1.96 m_tot_mub_per_fu=0.00 dos_ef_per_ev_fu=2.7 pbc="T T T"
Ba 0.0000 0.0000 0.0000
Ba 3.8754 2.2167 0.0000
Ba 3.8754 -2.2167 0.0000
Sr 2.5845 0.0000 3.7213
Pr 2.5845 4.4702 3.7213
Pr 2.5845 -4.4702 3.7213
Se 1.2685 2.2762 2.0346
Se -0.0448 0.0000 5.3948
Se 1.2685 -2.2762 2.0346
Se 3.9005 2.2762 5.4081
Se 5.2138 0.0000 2.0479
Se 3.9005 -2.2762 5.4081

---

8
Lattice="7.5718 0.0000 0.0000 0.0000 4.3680 0.0000 -2.5209 0.0000 7.3357" Properties=species:S:1:pos:R:3 comment="BaSrPr2Se4, relaxed, DFT PBE" space_group=P2/m crystal_system=monoclinic e_form_raw_ev_per_atom=-1.91 m_tot_mub_per_fu=0.00 dos_ef_per_ev_fu=3.8 pbc="T T T"
Ba 0.0000 0.0000 0.0000
Sr 3.7859 2.1840 0.0000
Pr -1.2605 2.1840 3.6678
Pr 2.5255 0.0000 3.6678
Se 0.0552 0.0000 5.4077
Se 1.3126 2.1840 1.9709
Se 3.7383 2.1840 5.3648
Se 4.9957 0.0000 1.9280

---

8
Lattice="7.7117 0.0000 0.0000 0.0000 4.4404 0.0000 -2.5552 0.0000 7.3275" Properties=species:S:1:pos:R:3 comment="BaSr2PrSe4, relaxed, DFT PBE" space_group=P2/m crystal_system=monoclinic e_form_raw_ev_per_atom=-1.96 m_tot_mub_per_fu=0.00 dos_ef_per_ev_fu=3.0 pbc="T T T"
Ba 0.0000 0.0000 0.0000
Sr 2.5783 0.0000 3.6638
Sr 3.8559 2.2202 0.0000
Pr -1.2776 2.2202 3.6638
Se 0.0239 0.0000 5.4000
Se 1.2881 2.2202 1.9504
Se 3.8684 2.2202 5.3771
Se 5.1327 0.0000 1.9275

---

8
Lattice="7.5538 0.0000 0.0000 0.0000 4.3644 0.0000 -2.5199 0.0000 7.4171" Properties=species:S:1:pos:R:3 comment="Ba2TbPrSe4, relaxed, DFT PBE" space_group=P2/m crystal_system=monoclinic e_form_raw_ev_per_atom=-1.90 m_tot_mub_per_fu=0.00 dos_ef_per_ev_fu=3.9 pbc="T T T"
Ba 0.0000 0.0000 0.0000
Ba 3.7769 2.1822 0.0000
Tb -1.2599 2.1822 3.7085
Pr 2.5170 0.0000 3.7085
Se -0.0550 0.0000 5.3146
Se 1.1990 2.1822 2.0701
Se 3.8349 2.1822 5.3470
Se 5.0889 0.0000 2.1025

---

14
Lattice="4.3208 2.4946 7.1803 -4.3208 2.4946 7.1803 0.0000 -4.9892 7.1803" Properties=species:S:1:pos:R:3 comment="BaTb4PrSe8, relaxed, DFT PBE" space_group=R3m crystal_system=trigonal e_form_raw_ev_per_atom=-1.78 m_tot_mub_per_fu=0.00 dos_ef_per_ev_fu=4.4 pbc="T T T"
Ba 0.0000 0.0000 0.0000
Tb -2.1849 -1.2614 9.9179
Tb 0.0000 0.0000 5.4558
Tb 2.1849 -1.2614 9.9179
Tb 0.0000 2.5229 9.9179
Pr 0.0000 0.0000 13.5589
Se 0.0000 -2.3939 11.6199
Se -2.0732 1.1970 11.6199
Se 0.0000 0.0000 8.2955
Se -1.9053 -1.1000 15.5093
Se 2.0732 1.1969 11.6199
Se 0.0000 0.0000 18.5168
Se 1.9052 -1.1000 15.5093
Se 0.0000 2.2000 15.5093

---

12
Lattice="3.7984 -6.5707 0.0000 3.7984 6.5707 0.0000 -2.5345 0.0000 7.4240" Properties=species:S:1:pos:R:3 comment="Ba3TbPr2Se6, relaxed, DFT PBE" space_group=C2/m crystal_system=monoclinic e_form_raw_ev_per_atom=-1.91 m_tot_mub_per_fu=0.00 dos_ef_per_ev_fu=4.9 pbc="T T T"
Ba 0.0000 0.0000 0.0000
Ba 3.7984 2.2270 0.0000
Ba 3.7984 -2.2270 0.0000
Tb 2.5311 0.0000 3.7120
Pr 2.5311 4.3921 3.7120
Pr 2.5311 -4.3921 3.7120
Se 1.3014 2.1313 2.0807
Se 0.0701 0.0000 5.3640
Se 1.3014 -2.1313 2.0807
Se 3.7608 2.1313 5.3432
Se 4.9921 0.0000 2.0600
Se 3.7608 -2.1313 5.3432

---

20
Lattice="7.6654 0.0000 0.0000 0.0000 8.1704 0.0000 -7.4415 0.0000 11.0041" Properties=species:S:1:pos:R:3 comment="Ba2PrThSe6, relaxed, DFT PBE" space_group=P2_1/c crystal_system=monoclinic e_form_raw_ev_per_atom=-1.74 m_tot_mub_per_fu=0.00 dos_ef_per_ev_fu=15.1 pbc="T T T"
Ba -0.1673 0.6454 2.7171
Ba -3.8881 3.4398 8.2191
Ba 4.1120 4.7306 2.7849
Ba 0.3913 7.5251 8.2870
Pr -3.7207 0.0000 5.5020
Pr 0.0000 4.0852 0.0000
Th 3.8327 0.0000 0.0000
Th 0.1120 4.0852 5.5020
Se -5.9403 1.6011 10.3752
Se -2.2196 2.4841 4.8732
Se -5.0889 5.7588 10.3203
Se -1.3682 6.4968 4.8182
Se -2.7735 0.2974 8.2720
Se 0.9472 3.7879 2.7700
Se -0.7233 4.3826 8.2341
Se 2.9975 7.8731 2.7321
Se 1.5922 1.6736 6.1859
Se 5.3129 2.4116 0.6838
Se 2.4435 5.6863 6.1309
Se 6.1643 6.5693 0.6289

---

8
Lattice="7.5258 0.0000 0.0000 0.0000 4.3364 0.0000 -2.4967 0.0000 7.3966" Properties=species:S:1:pos:R:3 comment="Ba2PrTmSe4, relaxed, DFT PBE" space_group=P2/m crystal_system=monoclinic e_form_raw_ev_per_atom=-1.87 m_tot_mub_per_fu=0.00 dos_ef_per_ev_fu=3.7 pbc="T T T"
Ba 0.0000 0.0000 0.0000
Ba 3.7629 2.1682 0.0000
Pr -1.2483 2.1682 3.6983
Tm 2.5146 0.0000 3.6983
Se 0.0982 0.0000 5.3151
Se 1.3380 2.1682 2.1290
Se 3.6911 2.1682 5.2676
Se 4.9309 0.0000 2.0815

---

12
Lattice="3.7880 -6.5514 0.0000 3.7880 6.5514 0.0000 -2.5288 0.0000 7.4004" Properties=species:S:1:pos:R:3 comment="Ba3Pr2TmSe6, relaxed, DFT PBE" space_group=C2/m crystal_system=monoclinic e_form_raw_ev_per_atom=-1.89 m_tot_mub_per_fu=0.00 dos_ef_per_ev_fu=4.9 pbc="T T T"
Ba 0.0000 0.0000 0.0000
Ba 3.7880 2.2375 0.0000
Ba 3.7880 -2.2375 0.0000
Pr 2.5236 4.3828 3.7002
Pr 2.5236 -4.3828 3.7002
Tm 2.5236 0.0000 3.7002
Se 1.3150 2.0959 2.0939
Se 0.1046 0.0000 5.3348
Se 1.3150 -2.0959 2.0939
Se 3.7322 2.0959 5.3064
Se 4.9426 0.0000 2.0656
Se 3.7322 -2.0959 5.3064

---

12
Lattice="3.7967 -6.5676 0.0000 3.7967 6.5676 0.0000 -2.5338 0.0000 7.4206" Properties=species:S:1:pos:R:3 comment="Ba3Pr2YSe6, relaxed, DFT PBE" space_group=C2/m crystal_system=monoclinic e_form_raw_ev_per_atom=-1.91 m_tot_mub_per_fu=0.00 dos_ef_per_ev_fu=4.9 pbc="T T T"
Ba 0.0000 0.0000 0.0000
Ba 3.7967 2.2275 0.0000
Ba 3.7967 -2.2275 0.0000
Pr 2.5298 4.3905 3.7103
Pr 2.5298 -4.3905 3.7103
Y 2.5298 0.0000 3.7103
Se 1.3023 2.1277 2.0816
Se 0.0728 0.0000 5.3608
Se 1.3023 -2.1277 2.0816
Se 3.7573 2.1277 5.3390
Se 4.9868 0.0000 2.0598
Se 3.7573 -2.1277 5.3390

---

14
Lattice="4.3102 2.4885 7.1713 -4.3102 2.4885 7.1713 0.0000 -4.9770 7.1713" Properties=species:S:1:pos:R:3 comment="BaPrY4Se8, relaxed, DFT PBE" space_group=R3m crystal_system=trigonal e_form_raw_ev_per_atom=-1.79 m_tot_mub_per_fu=0.00 dos_ef_per_ev_fu=4.6 pbc="T T T"
Ba 0.0000 0.0000 0.0000
Pr 0.0000 0.0000 13.5430
Y -2.1779 -1.2574 9.9085
Y 0.0000 0.0000 5.4505
Y 2.1779 -1.2574 9.9085
Y 0.0000 2.5148 9.9085
Se 0.0000 -2.3894 11.6019
Se -2.0693 1.1947 11.6019
Se 0.0000 0.0000 8.2871
Se -1.9006 -1.0973 15.4967
Se 2.0693 1.1947 11.6019
Se 0.0000 0.0000 18.4932
Se 1.9006 -1.0973 15.4967
Se 0.0000 2.1946 15.4967

---

15
Lattice="4.3389 2.5050 7.5766 -4.3389 2.5050 7.5766 0.0000 -5.0101 7.5766" Properties=species:S:1:pos:R:3 comment="Ba3Pr3YSe8, relaxed, DFT PBE" space_group=R-3m crystal_system=trigonal e_form_raw_ev_per_atom=-1.94 m_tot_mub_per_fu=0.00 dos_ef_per_ev_fu=3.9 pbc="T T T"
Ba -2.1694 -1.2525 7.5766
Ba -2.1694 1.2525 15.1532
Ba 0.0000 2.5050 7.5766
Pr -4.3389 0.0000 11.3649
Pr -2.1694 1.2525 3.7883
Pr 2.1694 1.2525 3.7883
Y 0.0000 0.0000 11.3649
Se 0.0000 0.0000 5.4973
Se -2.1059 -1.2158 12.9977
Se 0.0000 -2.4317 9.7322
Se -2.1059 1.2158 9.7322
Se 2.1059 -1.2158 12.9976
Se 0.0000 2.4317 12.9976
Se 2.1059 1.2158 9.7322
Se 0.0000 0.0000 17.2326

---

10
Lattice="4.4678 -6.9736 0.0000 4.4678 6.9736 0.0000 0.0000 0.0000 4.3817" Properties=species:S:1:pos:R:3 comment="BaPrSi3, relaxed, DFT PBE" space_group=Cmmm crystal_system=orthorhombic e_form_raw_ev_per_atom=-0.36 m_tot_mub_per_fu=0.00 dos_ef_per_ev_fu=2.0 pbc="T T T"
Ba 0.0000 0.0000 0.0000
Ba 4.4678 0.0000 0.0000
Pr 2.2339 3.4868 0.0000
Pr 2.2339 -3.4868 0.0000
Si 2.0793 1.2377 2.1908
Si 4.4678 4.4510 2.1908
Si 2.0793 -1.2377 2.1908
Si 6.8564 1.2377 2.1908
Si 4.4678 -4.4510 2.1908
Si 6.8564 -1.2377 2.1908

---

4
Lattice="2.0823 1.2022 11.0884 -2.0823 1.2022 11.0884 0.0000 -2.4045 11.0884" Properties=species:S:1:pos:R:3 comment="BaPr2Si, relaxed, DFT PBE" space_group=R-3m crystal_system=trigonal e_form_raw_ev_per_atom=-0.11 m_tot_mub_per_fu=0.00 dos_ef_per_ev_fu=6.1 pbc="T T T"
Ba 0.0000 0.0000 0.0000
Pr 0.0000 0.0000 3.8716
Pr 0.0000 0.0000 29.3936
Si 0.0000 0.0000 16.6326

---

6
Lattice="3.9142 0.0000 0.0000 0.0000 3.9142 0.0000 0.0000 0.0000 13.9242" Properties=species:S:1:pos:R:3 comment="BaPrSi, relaxed, DFT PBE" space_group=P4/mmm crystal_system=tetragonal e_form_raw_ev_per_atom=-0.15 m_tot_mub_per_fu=0.00 dos_ef_per_ev_fu=3.1 pbc="T T T"
Ba 0.0000 0.0000 1.9651
Ba 0.0000 0.0000 11.9591
Pr 1.9571 1.9571 5.4757
Pr 1.9571 1.9571 8.4485
Si 0.0000 0.0000 6.9621
Si 1.9571 1.9571 0.0000

---

9
Lattice="7.2946 0.0000 0.0000 -3.6473 6.3173 0.0000 0.0000 0.0000 4.3818" Properties=species:S:1:pos:R:3 comment="BaPr2Si6, relaxed, DFT PBE" space_group=P6/mmm crystal_system=hexagonal e_form_raw_ev_per_atom=-0.45 m_tot_mub_per_fu=0.00 dos_ef_per_ev_fu=5.8 pbc="T T T"
Ba 0.0000 0.0000 0.0000
Pr 0.0000 4.2116 0.0000
Pr 3.6473 2.1058 0.0000
Si -1.2394 2.1467 2.1909
Si -2.4079 4.1707 2.1909
Si 2.4788 0.0000 2.1909
Si 1.2394 2.1467 2.1909
Si 4.8159 0.0000 2.1909
Si 2.4079 4.1707 2.1909

---

6
Lattice="4.2767 0.0000 0.0000 -2.1384 3.7037 0.0000 0.0000 0.0000 9.2364" Properties=species:S:1:pos:R:3 comment="BaPrZn2Si2, relaxed, DFT PBE" space_group=P-3m1 crystal_system=trigonal e_form_raw_ev_per_atom=-0.50 m_tot_mub_per_fu=0.00 dos_ef_per_ev_fu=4.2 pbc="T T T"
Ba 0.0000 0.0000 0.0000
Pr 0.0000 0.0000 4.6182
Zn 0.0000 2.4692 6.6736
Zn 2.1384 1.2346 2.5628
Si 0.0000 2.4692 2.5597
Si 2.1384 1.2346 6.6767